{"formula": "Zr3AlNi3", "functional": "PBE-GGA", "state": "optimized geometry", "lattice_angstrom": [[-0.909, -3.796, -6.844], [3.144, -3.731, 6.187], [-4.283, -1.389, 1.339]], "species": ["Zr", "Zr", "Ni", "Ni", "Ni", "Zr", "Ni", "Ni", "Zr", "Zr", "Al", "Al", "Zr", "Ni"], "frac_coords": [[0.993, 0.259, 0.250], [0.265, 0.007, 0.250], [0.400, 0.997, 0.750], [0.997, 0.596, 0.250], [0.600, 0.003, 0.250], [0.735, 0.993, 0.750], [0.404, 0.400, 0.250], [0.596, 0.600, 0.750], [0.741, 0.735, 0.250], [0.259, 0.265, 0.750], [0.333, 0.667, 0.250], [0.667, 0.333, 0.750], [0.007, 0.741, 0.750], [0.003, 0.404, 0.750]], "de_polymorph_mev_per_atom": 124, "e_tot_ev_per_atom": -6.864, "delta_e_f_ev_per_atom": -0.19, "density_g_cm3": 6.27}

=====

{"formula": "ZrAl6Ni", "functional": "PBE-GGA", "state": "optimized geometry", "lattice_angstrom": [[-2.054, 1.002, -3.220], [-3.292, 0.221, 2.168], [1.626, 8.492, 1.605]], "species": ["Al", "Al", "Al", "Al", "Al", "Ni", "Zr", "Al"], "frac_coords": [[0.500, 0.000, 0.661], [0.500, 0.500, 0.862], [0.500, 0.000, 0.339], [0.000, 0.500, 0.661], [0.500, 0.500, 0.138], [0.000, 0.000, 0.500], [0.000, 0.000, 0.000], [0.000, 0.500, 0.339]], "de_polymorph_mev_per_atom": 0, "e_tot_ev_per_atom": -4.839, "delta_e_f_ev_per_atom": -0.24, "density_g_cm3": 3.78}

=====

{"formula": "Zr2Al8Ni", "functional": "PBE-GGA", "state": "optimized geometry", "lattice_angstrom": [[-4.099, -0.247, -0.416], [0.082, -3.854, 1.475], [-1.246, 3.807, 10.021]], "species": ["Al", "Al", "Al", "Al", "Al", "Ni", "Zr", "Al", "Al", "Al", "Zr"], "frac_coords": [[0.000, 0.500, 0.878], [0.500, 0.500, 0.306], [0.000, 0.500, 0.500], [0.000, 0.500, 0.122], [0.500, 0.000, 0.122], [0.000, 0.000, 0.000], [0.000, 0.000, 0.315], [0.500, 0.000, 0.878], [0.500, 0.000, 0.500], [0.500, 0.500, 0.694], [0.000, 0.000, 0.685]], "e_tot_ev_per_atom": -5.273, "delta_e_f_ev_per_atom": -0.47, "density_g_cm3": 4.13}

=====

{"formula": "ZrAl2Ni6", "functional": "PBE-GGA", "state": "optimized geometry", "lattice_angstrom": [[-0.619, 3.637, -5.956], [-0.396, -6.994, -0.109], [-2.689, 0.146, 0.369]], "species": ["Ni", "Ni", "Al", "Zr", "Al", "Ni", "Ni", "Ni", "Ni"], "frac_coords": [[0.683, 0.683, 0.000], [0.000, 0.317, 0.000], [0.333, 0.667, 0.000], [0.000, 0.000, 0.500], [0.667, 0.333, 0.000], [0.317, 0.000, 0.000], [0.367, 0.367, 0.500], [0.633, 0.000, 0.500], [0.000, 0.633, 0.500]], "de_polymorph_mev_per_atom": 3, "e_tot_ev_per_atom": -5.904, "delta_e_f_ev_per_atom": -0.27, "density_g_cm3": 7.15}

=====

Number 1: size of the total moment 0.000 μB/cell. Number 2: size of the total moment 0.000 μB/cell. Number 3: size of the total moment 0.000 μB/cell. Number 4: size of the total moment 0.000 μB/cell.